A geometry-optimized CaCdCl2 structure, computed with PBE.

Values from the calculation:
- Space group: P2/m, No. 10
- E above lowest polymorph: 157.9 meV per atom
- Uncorrected energy: -3.133 eV per atom
- Energy relative to the elements, uncorrected: -143 kJ/mol of atoms

The structure in POSCAR format:
```
CaCdCl2
1.0
3.4661 0.0000 0.0000
0.0000 3.4665 0.0459
0.0000 3.2443 10.1291
Cl Ca Cd
2 1 1
Cartesian
0.0000 3.4314 1.0029
0.0000 3.3905 4.1305
1.7330 1.6777 2.5437
1.7330 5.0331 7.6312
```